1.
VASP calculation (GGA-PBE) on a relaxed NdAg2GeSe4 crystal.

## Properties
* N(E_F): 0.46 states/eV per atom
* formation energy without anion corrections: -0.609 eV per atom

Cell: 8.1500 8.1500 8.3638 Å, 120.85 120.85 90.29°
Positions (direct):
Nd 0.0000 0.5000 0.0000
Nd 0.0000 0.5000 0.5000
Ag 0.5000 0.0000 0.0000
Ag 0.5000 0.0000 0.5000
Ag 0.0000 0.0000 0.5000
Ag 0.5000 0.5000 0.0000
Ge 0.5000 0.5000 0.5000
Ge 0.0000 0.0000 0.0000
Se 0.2527 0.7665 0.0095
Se 0.7335 0.2473 0.4905
Se 0.2665 0.7527 0.5095
Se 0.7473 0.2335 0.9905
Se 0.7446 0.7551 0.9881
Se 0.7449 0.7554 0.5119
Se 0.2551 0.2445 0.4881
Se 0.2555 0.2449 0.0119

---

2.
VASP calculation (GGA-PBE) on a relaxed Li2TeCl crystal.

## Properties
* N(E_F): 0.24 states/eV per atom
* formation energy without anion corrections: -1.008 eV per atom

Cell: 4.2328 6.8744 3.2810 Å, 90.00 90.00 90.00°
Positions (direct):
Cl 0.0000 0.5000 0.5000
Li 0.0000 0.0000 0.0000
Li 0.5000 0.5000 0.0000
Te 0.5000 0.0000 0.5000

---

3.
VASP calculation (GGA-PBE) on a relaxed YbSi2Ru2 crystal.

## Properties
* N(E_F): 3.33 states/eV per atom
* formation energy without anion corrections: -0.795 eV per atom

Cell: 5.6461 5.6461 5.6461 Å, 136.39 136.39 63.38°
Positions (direct):
Ru 0.2500 0.7500 0.5000
Ru 0.7500 0.2500 0.5000
Si 0.6327 0.6327 0.0000
Si 0.3673 0.3673 0.0000
Yb 0.0000 0.0000 0.0000

---

4.
VASP calculation (GGA-PBE) on a relaxed Pa2NiB crystal.

## Properties
* N(E_F): 0.99 states/eV per atom
* energy of formation: 0.277 eV per atom

Cell: 3.2960 3.2960 8.3672 Å, 78.64 78.64 60.00°
Positions (direct):
Ni 0.0000 0.0000 0.0000
B 0.5000 0.5000 0.5000
Pa 0.1028 0.1028 0.6916
Pa 0.8972 0.8972 0.3084

---

5.
VASP calculation (GGA-PBE) on a relaxed SrPAu crystal.

## Properties
* N(E_F): 0.00 states/eV per atom
* energy of formation: -0.806 eV per atom

Cell: 4.5335 8.2782 4.5018 Å, 81.77 90.01 90.04°
Positions (direct):
Sr 0.2585 0.8874 0.6445
Sr 0.2591 0.3729 0.7771
Au 0.7585 0.7068 0.1891
Au 0.7588 0.0683 0.1070
P 0.7589 0.1624 0.5802
P 0.2584 0.6208 0.2163

---

6.
VASP calculation (GGA-PBE) on a relaxed RbSb2TeN crystal.

## Properties
* N(E_F): 1.05 states/eV per atom
* formation energy without anion corrections: 0.505 eV per atom

Cell: 4.9481 4.9481 5.2509 Å, 90.00 90.00 90.00°
Positions (direct):
Sb 0.0000 0.5000 0.0000
Sb 0.5000 0.0000 0.0000
Te 0.0000 0.0000 0.5000
Rb 0.5000 0.5000 0.5000
N 0.0000 0.0000 0.0000

---

7.
VASP calculation (GGA-PBE) on a relaxed BeV2Ga crystal.

## Properties
* N(E_F): 0.83 states/eV per atom
* energy of formation: 0.069 eV per atom

Cell: 4.1464 4.1464 4.1464 Å, 60.00 60.00 60.00°
Positions (direct):
Be 0.0000 0.0000 0.0000
Ga 0.5000 0.5000 0.5000
V 0.2500 0.2500 0.2500
V 0.7500 0.7500 0.7500

---

8.
VASP calculation (GGA-PBE) on a relaxed CsInAg2F8 crystal.

## Properties
* formation energy without anion corrections: -1.790 eV per atom

Cell: 5.8864 5.8864 8.0895 Å, 68.66 68.66 60.00°
Positions (direct):
Cs 0.5000 0.5000 0.5000
In 0.0000 0.0000 0.0000
Ag 0.2908 0.2908 0.1276
Ag 0.7092 0.7092 0.8724
F 0.1993 0.1993 0.4021
F 0.6774 0.2921 0.1422
F 0.8007 0.8007 0.5979
F 0.8883 0.6774 0.1422
F 0.1117 0.3226 0.8578
F 0.2921 0.8883 0.1422
F 0.7079 0.1117 0.8578
F 0.3226 0.7079 0.8578

---

9.
VASP calculation (GGA-PBE) on a relaxed Rb4Hf3S14 crystal.

## Properties
* N(E_F): 0.00 states/eV per atom
* formation energy without anion corrections: -1.119 eV per atom

Cell: 11.8332 11.8332 13.9293 Å, 68.52 68.52 41.56°
Positions (direct):
Rb 0.0156 0.3815 0.8953
Rb 0.6185 0.9844 0.6047
Rb 0.9844 0.6185 0.1047
Rb 0.3815 0.0156 0.3953
Rb 0.1935 0.6681 0.6420
Rb 0.3319 0.8065 0.8580
Rb 0.8065 0.3319 0.3580
Rb 0.6681 0.1935 0.1420
Hf 0.9220 0.4148 0.5886
Hf 0.5852 0.0780 0.9114
Hf 0.0780 0.5852 0.4114
Hf 0.4148 0.9220 0.0886
Hf 0.7668 0.2332 0.7500
Hf 0.2332 0.7668 0.2500
S 0.8845 0.1936 0.8940
S 0.8064 0.1155 0.6060
S 0.1155 0.8064 0.1060
S 0.1936 0.8845 0.3940
S 0.6552 0.4833 0.5861
S 0.5167 0.3448 0.9139
S 0.3448 0.5167 0.4139
S 0.4833 0.6552 0.0861
S 0.0733 0.0986 0.6331
S 0.9014 0.9267 0.8669
S 0.9267 0.9014 0.3669
S 0.0986 0.0733 0.1331
S 0.7609 0.4300 0.7930
S 0.5700 0.2391 0.7070
S 0.2391 0.5700 0.2070
S 0.4300 0.7609 0.2930
S 0.9885 0.5701 0.6002
S 0.4299 0.0115 0.8998
S 0.0115 0.4299 0.3998
S 0.5701 0.9885 0.1002
S 0.8538 0.8082 0.8314
S 0.1918 0.1462 0.6686
S 0.1462 0.1918 0.1686
S 0.8082 0.8538 0.3314
S 0.3111 0.4035 0.8896
S 0.5965 0.6889 0.6104
S 0.6889 0.5965 0.1104
S 0.4035 0.3111 0.3896

---

10.
VASP calculation (GGA-PBE) on a relaxed ReSeCl2 crystal.

## Properties
* N(E_F): 0.67 states/eV per atom
* formation energy without anion corrections: 0.167 eV per atom

Cell: 6.8897 6.8897 6.8897 Å, 154.28 139.09 48.96°
Positions (direct):
Re 0.4945 0.4945 0.0000
Se 0.3473 0.8473 0.5000
Cl 0.0020 0.0020 0.0000
Cl 0.6561 0.1561 0.5000

---

Record-wise theoretical density values, in g cm⁻³: 6.517; 3.077; 8.474; 11.515; 6.268; 6.078; 5.950; 4.639; 3.700; 6.026
Record-wise calculated total energy values, in eV per atom: -4.237; -3.212; -6.979; -7.586; -4.262; -3.631; -6.179; -3.812; -5.477; -4.740